No. 1
Computed, not measured: a geometry-optimized Mg2AgAu5 structure at the PBE level of DFT.

Lattice parameters (Å, degrees): 4.174 5.839 11.708 90.00 90.00 90.00
Sites, in units of the cell vectors:
Mg (0.500, 0.738, 0.628)
Mg (0.500, 0.762, 0.128)
Mg (0.500, 0.238, 0.872)
Mg (0.500, 0.262, 0.372)
Au (0.000, 0.500, 0.500)
Au (0.000, 0.990, 0.749)
Au (0.000, 0.010, 0.251)
Au (0.500, 0.739, 0.878)
Au (0.000, 0.490, 0.751)
Au (0.500, 0.239, 0.622)
Au (0.500, 0.761, 0.378)
Au (0.000, 0.510, 0.249)
Au (0.500, 0.261, 0.122)
Au (0.000, 0.000, 0.000)
Ag (0.000, 0.500, 0.000)
Ag (0.000, 0.000, 0.500)

Values from the calculation:
DFT formation energy in eV per atom: -0.37
Density in Mg/m³: 13.3
Total energy in eV/atom: -3.174
Energy above the most stable polymorph in this dataset in kJ/mol of atoms: 0.00
Calculated volume in Å³/cell: 285.4
Symmetry: No. 55



No. 2
Computed, not measured: a geometry-optimized Mg3Ag3Au2 structure at the PBE level of DFT.

Lattice parameters (Å, degrees): 4.520 4.569 6.987 90.00 90.00 90.00
Sites, in units of the cell vectors:
Au (0.000, 0.000, 0.742)
Au (0.000, 0.000, 0.258)
Mg (0.000, 0.500, 0.500)
Mg (0.500, 0.000, 0.500)
Mg (0.500, 0.000, 0.000)
Ag (0.000, 0.500, 0.000)
Ag (0.500, 0.500, 0.254)
Ag (0.500, 0.500, 0.746)

Values from the calculation:
DFT formation energy in eV per atom: -0.34
Density in Mg/m³: 9.1
Total energy in eV/atom: -2.828
Calculated volume in Å³/cell: 144.3
Symmetry: No. 47